(1)
VASP calculation (PBE) on crystalline KGeO at its relaxed geometry.

a = 5.5803 Å, b = 5.5803 Å, c = 9.7678 Å
α = 90.00°, β = 90.00°, γ = 105.02°
Fractional coordinates of all 12 atoms:
K 0.1838 0.8163 0.3337
K 0.6350 0.3650 0.2498
K 0.1838 0.8163 0.6663
K 0.6350 0.3650 0.7502
Ge 0.1651 0.2323 0.0000
Ge 0.2722 0.7278 0.0000
Ge 0.8603 0.1397 0.5000
Ge 0.7677 0.8349 0.0000
O 0.9126 0.0874 0.8689
O 0.5311 0.0592 0.5000
O 0.9126 0.0874 0.1311
O 0.9408 0.4689 0.5000

E_form (uncorrected) ... -0.996 eV/atom

---

(2)
VASP calculation (PBE) on crystalline K2Pm2TaS6 at its relaxed geometry.

a = 6.7973 Å, b = 6.7973 Å, c = 7.9104 Å
α = 98.71°, β = 98.71°, γ = 119.17°
Each line ends with the local moment (μB).
Fractional coordinates of all 11 atoms:
K 0.8278 0.1722 0.0000  0.00
K 0.1722 0.8278 0.0000  0.00
S 0.3698 0.0679 0.6965  0.00
S 0.9321 0.6302 0.3035  0.00
S 0.6302 0.9321 0.3035  0.00
S 0.2300 0.2300 0.3047  0.00
S 0.0679 0.3698 0.6965  0.00
S 0.7700 0.7700 0.6953  0.00
Pm 0.3337 0.6663 0.5000  0.05
Pm 0.6663 0.3337 0.5000  0.05
Ta 0.0000 0.0000 0.5000  0.50

E_form (uncorrected) ... -1.544 eV/atom

---

(3)
VASP calculation (PBE) on crystalline AlReAs at its relaxed geometry.

a = 4.5243 Å, b = 4.5243 Å, c = 2.6687 Å
α = 90.00°, β = 90.00°, γ = 120.00°
Fractional coordinates of all 3 atoms:
Re 0.3333 0.6667 0.4998
As 0.6667 0.3333 0.5004
Al 0.0000 0.0000 0.9998

Formation energy ... 0.250 eV per atom

---

(4)
VASP calculation (PBE) on crystalline Ag2Sn2Sb at its relaxed geometry.

a = 4.3688 Å, b = 4.3688 Å, c = 7.2356 Å
α = 72.43°, β = 72.43°, γ = 90.00°
Fractional coordinates of all 5 atoms:
Sn 0.2500 0.7500 0.5000
Sn 0.7500 0.2500 0.5000
Ag 0.6017 0.6017 0.7966
Ag 0.3983 0.3983 0.2034
Sb 0.0000 0.0000 0.0000

E_form (uncorrected) ... 0.205 eV/atom

---

(5)
VASP calculation (PBE) on crystalline LaPu2As3 at its relaxed geometry.

a = 4.2178 Å, b = 5.9710 Å, c = 7.2995 Å
α = 114.14°, β = 106.79°, γ = 90.00°
Each line ends with the local moment (μB).
Fractional coordinates of all 6 atoms:
La 0.5000 0.5000 0.5000  -0.01
As 0.5000 0.0000 0.5000  -0.13
As 0.8236 0.3236 0.1471  -0.13
As 0.1764 0.6764 0.8529  -0.13
Pu 0.1646 0.1646 0.8292  5.02
Pu 0.8354 0.8354 0.1708  5.02

Formation energy ... -1.181 eV per atom

---

(6)
VASP calculation (PBE) on crystalline RbPbAu2 at its relaxed geometry.

a = 3.8666 Å, b = 3.8666 Å, c = 7.8461 Å
α = 90.00°, β = 90.00°, γ = 90.00°
Fractional coordinates of all 4 atoms:
Au 0.0000 0.0000 0.8075
Au 0.0000 0.0000 0.1925
Rb 0.5000 0.5000 0.5000
Pb 0.5000 0.5000 0.0000

Formation energy ... -0.090 eV per atom

---

(7)
VASP calculation (PBE) on crystalline SrBe3 at its relaxed geometry.

a = 4.5112 Å, b = 4.5112 Å, c = 4.5112 Å
α = 120.12°, β = 120.12°, γ = 89.79°
Fractional coordinates of all 4 atoms:
Be 0.5000 0.5000 0.0000
Be 0.7500 0.2500 0.5000
Be 0.2500 0.7500 0.5000
Sr 0.0000 0.0000 0.0000

Formation energy ... 0.772 eV per atom

---

(8)
VASP calculation (PBE) on crystalline NpCuGe2Pt4 at its relaxed geometry.

a = 4.2996 Å, b = 4.2996 Å, c = 8.9398 Å
α = 76.09°, β = 76.09°, γ = 60.00°
Each line ends with the local moment (μB).
Fractional coordinates of all 8 atoms:
Pt 0.8648 0.8648 0.4056  0.03
Pt 0.6015 0.6015 0.1955  -0.06
Pt 0.3985 0.3985 0.8045  -0.06
Pt 0.1352 0.1352 0.5944  0.03
Np 0.0000 0.0000 0.0000  3.56
Ge 0.2420 0.2420 0.2741  0.00
Ge 0.7580 0.7580 0.7259  0.00
Cu 0.5000 0.5000 0.5000  0.01

Formation energy ... -0.375 eV per atom